The following is a GGA-PBE calculation of a relaxed KAgBH6 crystal, from Alexandria via LeMat-Bulk.

Cell and atoms, written as POSCAR:
```
KAgBH6
1.0
4.5603 0.0000 0.0000
1.3206 4.3805 0.0000
0.0488 1.5279 5.6294
K Ag B H
1 1 1 6
direct
0.0000 0.0000 0.0000
0.5800 0.7634 0.5410
0.0236 0.3522 0.4479
0.0529 0.4084 0.2370
0.0805 0.5477 0.5411
0.2435 0.1086 0.5637
0.5377 0.8774 0.2416
0.6088 0.6585 0.8443
0.7983 0.2583 0.5064
```

Calculated values
Crystal system: triclinic
SG: P1 (1)
Size of the total moment in μB per cell: 0.0
VASP energy in eV per formula unit: -30.61